No. 1
First-principles (PBE) data for a geometry-optimized Ho3InPd structure, as listed in Alexandria via LeMat-Bulk.

The calculation puts the formation energy at -2.20 eV/f.u. The value obtained for the density of states at the Fermi level is 38.642 states/eV per cell. Its crystal system is monoclinic. The calculated total energy is -4.77 eV per atom.

The space group is C2/c (No. 15) and the conventional cell measures 13.3839, 11.2085 and 7.4018 Å, with angles of 90.00, 90.01 and 90.00 degrees. The distinct sites, in fractional coordinates, are Ho at (0.1102, 0.0809, 0.4039), Ho at (0.1107, 0.4196, 0.5961), Ho at (0.2499, 0.1846, 0.7819), In at (0.0000, 0.1825, 0.7500), In at (0.0000, 0.3183, 0.2500) and Pd at (0.2495, 0.0598, 0.1147).



No. 2
First-principles (PBE) data for a geometry-optimized NaTaTl2O6 structure, as listed in Alexandria via LeMat-Bulk.

For the formation energy without anion corrections, the calculation gives -1572 meV per atom. Its crystal system is trigonal. The calculated total energy is -6.34 eV per atom.

The space group is R3 (No. 146, hexagonal axes) and the conventional cell measures 5.6895, 5.6895 and 15.1102 Å, with angles of 90.00, 90.00 and 120.00 degrees. The distinct sites, in fractional coordinates, are Na at (0.0000, 0.0000, 0.0000), Ta at (0.0000, 0.0000, 0.4985), Tl at (0.0000, 0.0000, 0.2834), Tl at (0.0000, 0.0000, 0.7718), O at (0.0003, 0.7306, 0.4029) and O at (0.0183, 0.3745, 0.2241).



No. 3
First-principles (PBE) data for a geometry-optimized FeBiRh3 structure, as listed in Alexandria via LeMat-Bulk.

The calculation puts the formation energy at 3.52 eV/f.u. The value obtained for the density of states at the Fermi level is 5.377 states/eV per cell. Its crystal system is cubic. The calculated total energy is -6.18 eV per atom.

The space group is Pm-3m (No. 221) and the conventional cell measures 4.5503, 4.5503 and 4.5503 Å, with angles of 90.00, 90.00 and 90.00 degrees. The distinct sites, in fractional coordinates, are Fe at (0.0000, 0.0000, 0.0000), Bi at (0.5000, 0.5000, 0.5000) and Rh at (0.0000, 0.0000, 0.5000).



No. 4
First-principles (PBE) data for a geometry-optimized Pm2Pr2Se3 structure, as listed in Alexandria via LeMat-Bulk.

For the formation energy without anion corrections, the calculation gives -1544 meV per atom. The value obtained for the density of states at the Fermi level is 3.687 states/eV per cell. Its crystal system is triclinic. The calculated total energy is -5.76 eV per atom.

The space group is P-1 (No. 2) and the conventional cell measures 4.1488, 7.2207 and 7.2653 Å, with angles of 99.40, 90.03 and 106.67 degrees. The distinct sites, in fractional coordinates, are Pm at (0.1268, 0.2535, 0.3779), Pr at (0.3760, 0.7545, 0.1194), Se at (0.2482, 0.4959, 0.7457) and Se at (0.5000, 0.0000, 0.5000).



What spin magnetization values result from the calculations? In sequence: 0.000 0.000 3.306 0.000 Bohr magnetons per cell.